Density functional theory data (PBE with a Hubbard U) for a relaxed structure of TiMnO2.

Calculated volume   12.1 Å³/atom
Excess energy over the best structure of this formula in the dataset   0.04 eV/f.u.
VASP energy   -8.280 eV per atom

a = 10.243 Å, b = 2.928 Å, c = 7.712 Å
α = 90.00°, β = 123.15°, γ = 90.00°
Space group Cm (No. 8)
One atom of each set of equivalent atoms:
Ti 0.000 0.000 0.000 (multiplicity 2)
Ti 0.128 0.000 0.744 (multiplicity 2)
Mn 0.178 0.500 0.449 (multiplicity 2)
Mn 0.386 0.500 0.306 (multiplicity 2)
O 0.066 0.500 0.873 (multiplicity 2)
O 0.209 0.000 0.264 (multiplicity 2)
O 0.275 0.500 0.762 (multiplicity 2)
O 0.435 0.000 0.126 (multiplicity 2)